The following is a DFT calculation (GGA-PBE) of a relaxed structure of Pu2Si3Ni2.

Cell lengths 8.8447, 8.8447, 6.5784 Å; angles 90.00, 90.00, 153.00 degrees
Sites, in units of the cell vectors:
Pu 0.0510 0.9490 0.7500
Pu 0.1565 0.8435 0.2500
Pu 0.8435 0.1565 0.7500
Pu 0.9490 0.0510 0.2500
Si 0.2214 0.7786 0.7500
Si 0.4358 0.5642 0.5660
Si 0.4358 0.5642 0.9340
Si 0.5642 0.4358 0.0660
Si 0.5642 0.4358 0.4340
Si 0.7786 0.2214 0.2500
Ni 0.3039 0.6961 0.0540
Ni 0.3039 0.6961 0.4460
Ni 0.6961 0.3039 0.5540
Ni 0.6961 0.3039 0.9460

crystal system: orthorhombic
density of states at the Fermi level: 2.75 states/eV per atom
formation energy (no corrections): -0.5346 eV per atom
DFT total energy: -60.24 eV/f.u.